# 1
The following is a GGA-PBE calculation of crystalline HfUZn at its relaxed geometry, from OQMD.

a = 6.693 Å, b = 6.693 Å, c = 6.693 Å
α = 90.00°, β = 90.00°, γ = 90.00°
Space group F-43m (No. 216)
One atom of each set of equivalent atoms:
Hf1 0.000 0.000 0.000 x4
U1 0.250 0.250 0.250 x4
Zn1 0.000 0.000 0.500 x4

Values from the calculation:
* formation enthalpy at 0 K: 1.221 eV/atom
* total energy: -6.285 eV/atom
* crystal system: cubic
* density: 10.68 Mg/m³

# 2
The following is a GGA-PBE calculation of crystalline LiScAl2Cu4 at its relaxed geometry, from OQMD.

a = 4.262 Å, b = 4.262 Å, c = 6.068 Å
α = 90.00°, β = 90.00°, γ = 90.00°
Space group P4/mmm (No. 123)
One atom of each set of equivalent atoms:
Li1 0.000 0.000 0.000 x1
Sc1 0.500 0.500 0.500 x1
Al1 0.000 0.000 0.500 x1
Al2 0.500 0.500 0.000 x1
Cu1 0.000 0.500 0.233 x4

Values from the calculation:
* total energy: -4.114 eV/atom
* crystal system: tetragonal
* density: 5.42 Mg/m³

# 3
The following is a GGA-PBE calculation of crystalline LiCuTcB at its relaxed geometry, from OQMD.

a = 5.459 Å, b = 5.459 Å, c = 5.459 Å
α = 90.00°, β = 90.00°, γ = 90.00°
Space group F-43m (No. 216)
One atom of each set of equivalent atoms:
Li1 0.000 0.000 0.000 x4
Cu1 0.250 0.250 0.750 x4
Tc1 0.250 0.250 0.250 x4
B1 0.000 0.000 0.500 x4

Values from the calculation:
* total energy: -5.382 eV/atom
* crystal system: cubic
* density: 7.32 Mg/m³

# 4
The following is a GGA-PBE calculation of crystalline YTmSi2Os at its relaxed geometry, from OQMD.

a = 10.649 Å, b = 4.212 Å, c = 9.936 Å
α = 90.00°, β = 118.90°, γ = 90.00°
Space group C2/m (No. 12)
One atom of each set of equivalent atoms:
Y1 0.010 0.000 0.180 x4
Tm1 0.184 0.000 0.610 x4
Si1 0.003 0.500 0.377 x4
Si2 0.145 0.500 0.061 x4
Os1 0.229 0.500 0.872 x4

Values from the calculation:
* total energy: -7.401 eV/atom
* crystal system: monoclinic
* density: 8.58 Mg/m³